Record 1
Entry from Alexandria via LeMat-Bulk: a relaxed structure of NaNiHg2As (PBE-GGA).

Output
Space-group type: P4/mmm, No. 123
Electronic total energy: -0.08559 hartree per atom
Fermi-level density of states: 2.955 states/eV/f.u.
Energy relative to the elements: 141.6 meV per atom

a b c (Å): 5.5608 5.5608 4.4017
angles (deg): 90.00 90.00 90.00
Positions (direct):
Na 0.0000 0.0000 0.0000
Ni 0.5000 0.5000 0.0000
Hg 0.0000 0.5000 0.5000
Hg 0.5000 0.0000 0.5000
As 0.5000 0.5000 0.5000

Record 2
Entry from Alexandria via LeMat-Bulk: a relaxed structure of Na2HgAsO4 (PBE-GGA).

Output
Space-group type: I-4, No. 82
Electronic total energy: -0.17075 hartree per atom
Fermi-level density of states: 3.215 states/eV/f.u.

a b c (Å): 6.2722 6.2722 6.4978
angles (deg): 90.00 90.00 90.00
Positions (direct):
Na 0.0000 0.0000 0.0000
Na 0.0000 0.5000 0.2500
Na 0.5000 0.0000 0.7500
Na 0.5000 0.5000 0.5000
Hg 0.0000 0.0000 0.5000
Hg 0.5000 0.5000 0.0000
As 0.0000 0.5000 0.7500
As 0.5000 0.0000 0.2500
O 0.1430 0.6720 0.9080
O 0.1720 0.3570 0.5920
O 0.3280 0.1430 0.0920
O 0.3570 0.8280 0.4080
O 0.6430 0.1720 0.4080
O 0.6720 0.8570 0.0920
O 0.8280 0.6430 0.5920
O 0.8570 0.3280 0.9080

Record 3
Entry from Alexandria via LeMat-Bulk: a relaxed structure of NaHgAsP2 (PBE-GGA).

Output
Space-group type: P4/mmm, No. 123
Electronic total energy: -0.10862 hartree per atom
Fermi-level density of states: 2.572 states/eV/f.u.
Energy relative to the elements: 462.3 meV per atom

a b c (Å): 4.8714 4.8714 5.3912
angles (deg): 90.00 90.00 90.00
Positions (direct):
Na 0.0000 0.0000 0.0000
Hg 0.5000 0.5000 0.0000
As 0.5000 0.5000 0.5000
P 0.0000 0.5000 0.5000
P 0.5000 0.0000 0.5000

Record 4
Entry from Alexandria via LeMat-Bulk: a relaxed structure of NaHgAsPb (PBE-GGA).

Output
Space-group type: F-43m, No. 216
Electronic total energy: -0.09720 hartree per atom
Fermi-level density of states: 0.049 states/eV/f.u.
Energy relative to the elements: -150.1 meV per atom

a b c (Å): 7.4577 7.4577 7.4577
angles (deg): 90.00 90.00 90.00
Positions (direct):
Na 0.0000 0.0000 0.0000
Na 0.0000 0.5000 0.5000
Na 0.5000 0.0000 0.5000
Na 0.5000 0.5000 0.0000
Hg 0.2500 0.2500 0.7500
Hg 0.2500 0.7500 0.2500
Hg 0.7500 0.2500 0.2500
Hg 0.7500 0.7500 0.7500
As 0.2500 0.2500 0.2500
As 0.2500 0.7500 0.7500
As 0.7500 0.2500 0.7500
As 0.7500 0.7500 0.2500
Pb 0.0000 0.0000 0.5000
Pb 0.0000 0.5000 0.0000
Pb 0.5000 0.0000 0.0000
Pb 0.5000 0.5000 0.5000

Record 5
Entry from Alexandria via LeMat-Bulk: a relaxed structure of Na2HgAsPd (PBE-GGA).

Output
Space-group type: P4/mmm, No. 123
Electronic total energy: -0.10128 hartree per atom
Fermi-level density of states: 2.999 states/eV/f.u.
Energy relative to the elements: -199.6 meV per atom

a b c (Å): 5.6389 5.6389 4.5923
angles (deg): 90.00 90.00 90.00
Positions (direct):
Na 0.0000 0.5000 0.0000
Na 0.5000 0.0000 0.0000
Hg 0.0000 0.0000 0.5000
As 0.5000 0.5000 0.5000
Pd 0.5000 0.5000 0.0000

Record 6
Entry from Alexandria via LeMat-Bulk: a relaxed structure of NaPmHgAs (PBE-GGA).

Output
Space-group type: F-43m, No. 216
Electronic total energy: -0.12122 hartree per atom
Fermi-level density of states: 2.362 states/eV/f.u.
Energy relative to the elements: -543.4 meV per atom

a b c (Å): 7.3267 7.3267 7.3267
angles (deg): 90.00 90.00 90.00
Positions (direct):
Na 0.0000 0.0000 0.0000
Na 0.0000 0.5000 0.5000
Na 0.5000 0.0000 0.5000
Na 0.5000 0.5000 0.0000
Pm 0.0000 0.0000 0.5000
Pm 0.0000 0.5000 0.0000
Pm 0.5000 0.0000 0.0000
Pm 0.5000 0.5000 0.5000
Hg 0.2500 0.2500 0.7500
Hg 0.2500 0.7500 0.2500
Hg 0.7500 0.2500 0.2500
Hg 0.7500 0.7500 0.7500
As 0.2500 0.2500 0.2500
As 0.2500 0.7500 0.7500
As 0.7500 0.2500 0.7500
As 0.7500 0.7500 0.2500

Record 7
Entry from Alexandria via LeMat-Bulk: a relaxed structure of Na2HgAsPt (PBE-GGA).

Output
Space-group type: P4/mmm, No. 123
Electronic total energy: -0.10982 hartree per atom
Fermi-level density of states: 2.459 states/eV/f.u.
Energy relative to the elements: -262.4 meV per atom

a b c (Å): 5.7048 5.7048 4.5683
angles (deg): 90.00 90.00 90.00
Positions (direct):
Na 0.0000 0.5000 0.0000
Na 0.5000 0.0000 0.0000
Hg 0.0000 0.0000 0.5000
As 0.5000 0.5000 0.5000
Pt 0.5000 0.5000 0.0000

Record 8
Entry from Alexandria via LeMat-Bulk: a relaxed structure of RbNa2HgAs (PBE-GGA).

Output
Space-group type: P4/mmm, No. 123
Electronic total energy: -0.06975 hartree per atom
Fermi-level density of states: 2.439 states/eV/f.u.
Energy relative to the elements: -186.5 meV per atom

a b c (Å): 5.6749 5.6749 5.6900
angles (deg): 90.00 90.00 90.00
Positions (direct):
Rb 0.0000 0.0000 0.0000
Na 0.0000 0.5000 0.5000
Na 0.5000 0.0000 0.5000
Hg 0.5000 0.5000 0.0000
As 0.5000 0.5000 0.5000

Record 9
Entry from Alexandria via LeMat-Bulk: a relaxed structure of RbNa2HgAs (PBE-GGA).

Output
Space-group type: P4/mmm, No. 123
Electronic total energy: -0.07155 hartree per atom
Fermi-level density of states: 0.699 states/eV/f.u.
Energy relative to the elements: -235.5 meV per atom

a b c (Å): 5.6212 5.6212 6.7951
angles (deg): 90.00 90.00 90.00
Positions (direct):
Rb 0.0000 0.0000 0.0000
Na 0.0000 0.5000 0.5000
Na 0.5000 0.0000 0.5000
Hg 0.5000 0.5000 0.0000
As 0.0000 0.0000 0.5000

Record 10
Entry from Alexandria via LeMat-Bulk: a relaxed structure of Rb2NaHgAs (PBE-GGA).

Output
Space-group type: P4/mmm, No. 123
Electronic total energy: -0.06777 hartree per atom
Fermi-level density of states: 1.787 states/eV/f.u.
Energy relative to the elements: -202.9 meV per atom

a b c (Å): 6.8102 6.8102 5.5778
angles (deg): 90.00 90.00 90.00
Positions (direct):
Rb 0.0000 0.5000 0.0000
Rb 0.5000 0.0000 0.0000
Na 0.0000 0.0000 0.5000
Hg 0.5000 0.5000 0.5000
As 0.0000 0.0000 0.0000

Record 11
Entry from Alexandria via LeMat-Bulk: a relaxed structure of Na2ReHgAs (PBE-GGA).

Output
Space-group type: P4/mmm, No. 123
Electronic total energy: -0.12740 hartree per atom
Fermi-level density of states: 3.240 states/eV/f.u.
Energy relative to the elements: 540.7 meV per atom

a b c (Å): 5.5455 5.5455 4.6976
angles (deg): 90.00 90.00 90.00
Positions (direct):
Na 0.0000 0.5000 0.0000
Na 0.5000 0.0000 0.0000
Re 0.0000 0.0000 0.5000
Hg 0.5000 0.5000 0.5000
As 0.0000 0.0000 0.0000

Record 12
Entry from Alexandria via LeMat-Bulk: a relaxed structure of NaHg2AsRu (PBE-GGA).

Output
Space-group type: P4/mmm, No. 123
Electronic total energy: -0.06817 hartree per atom
Fermi-level density of states: 5.894 states/eV/f.u.
Energy relative to the elements: 1314.5 meV per atom

a b c (Å): 5.1160 5.1160 5.0617
angles (deg): 90.00 90.00 90.00
Positions (direct):
Na 0.0000 0.0000 0.0000
Hg 0.0000 0.5000 0.0000
Hg 0.5000 0.0000 0.0000
As 0.0000 0.0000 0.5000
Ru 0.5000 0.5000 0.5000

Record 13
Entry from Alexandria via LeMat-Bulk: a relaxed structure of NaHg2AsS4 (PBE-GGA).

Output
Space-group type: Pmn2_1, No. 31
Electronic total energy: -0.11744 hartree per atom
Fermi-level density of states: 0.000 states/eV/f.u.

a b c (Å): 8.2447 8.6917 6.1691
angles (deg): 90.00 90.00 90.00
Positions (direct):
Na 0.0000 0.1287 0.0000
Na 0.5000 0.8713 0.5000
Hg 0.2134 0.3484 0.4820
Hg 0.2866 0.6516 0.9820
Hg 0.7134 0.6516 0.9820
Hg 0.7866 0.3484 0.4820
As 0.0000 0.7791 0.4591
As 0.5000 0.2209 0.9591
S 0.0000 0.1506 0.5105
S 0.0000 0.7803 0.0872
S 0.2295 0.6389 0.5301
S 0.2705 0.3611 0.0301
S 0.5000 0.2197 0.5872
S 0.5000 0.8494 0.0105
S 0.7295 0.3611 0.0301
S 0.7705 0.6389 0.5301

Record 14
Entry from Alexandria via LeMat-Bulk: a relaxed structure of Na2HgAsS4 (PBE-GGA).

Output
Space-group type: I-4, No. 82
Electronic total energy: -0.12708 hartree per atom
Fermi-level density of states: 4.200 states/eV/f.u.

a b c (Å): 6.3403 6.3403 10.8843
angles (deg): 90.00 90.00 90.00
Positions (direct):
Na 0.0000 0.0000 0.0000
Na 0.0000 0.5000 0.2500
Na 0.5000 0.0000 0.7500
Na 0.5000 0.5000 0.5000
Hg 0.0000 0.5000 0.7500
Hg 0.5000 0.0000 0.2500
As 0.0000 0.0000 0.5000
As 0.5000 0.5000 0.0000
S 0.2063 0.7706 0.6176
S 0.2294 0.2063 0.3824
S 0.2706 0.2937 0.8824
S 0.2937 0.7294 0.1176
S 0.7063 0.2706 0.1176
S 0.7294 0.7063 0.8824
S 0.7706 0.7937 0.3824
S 0.7937 0.2294 0.6176

Record 15
Entry from Alexandria via LeMat-Bulk: a relaxed structure of NaHgSbAs (PBE-GGA).

Output
Space-group type: Cm, No. 8
Electronic total energy: -0.09824 hartree per atom
Fermi-level density of states: 2.262 states/eV/f.u.

a b c (Å): 6.7099 3.8765 9.3610
angles (deg): 90.00 103.75 90.00
Positions (direct):
Na 0.0000 0.0000 0.0000
Na 0.5000 0.5000 0.0000
Hg 0.0850 0.5000 0.7555
Hg 0.5850 0.0000 0.7555
Sb 0.4712 0.0000 0.4146
Sb 0.9712 0.5000 0.4146
As 0.2476 0.5000 0.2430
As 0.7476 0.0000 0.2430

Record 16
Entry from Alexandria via LeMat-Bulk: a relaxed structure of NaHgAsSe2 (PBE-GGA).

Output
Space-group type: P4/mmm, No. 123
Electronic total energy: -0.08505 hartree per atom
Fermi-level density of states: 4.581 states/eV/f.u.

a b c (Å): 5.4304 5.4304 5.1983
angles (deg): 90.00 90.00 90.00
Positions (direct):
Na 0.0000 0.0000 0.0000
Hg 0.5000 0.5000 0.5000
As 0.5000 0.5000 0.0000
Se 0.0000 0.5000 0.5000
Se 0.5000 0.0000 0.5000

Record 17
Entry from Alexandria via LeMat-Bulk: a relaxed structure of NaHgAsSe2 (PBE-GGA).

Output
Space-group type: P4/mmm, No. 123
Electronic total energy: -0.07016 hartree per atom
Fermi-level density of states: 7.102 states/eV/f.u.

a b c (Å): 5.1513 5.1513 5.1756
angles (deg): 90.00 90.00 90.00
Positions (direct):
Na 0.0000 0.0000 0.0000
Hg 0.5000 0.5000 0.5000
As 0.0000 0.0000 0.5000
Se 0.0000 0.5000 0.0000
Se 0.5000 0.0000 0.0000

Record 18
Entry from Alexandria via LeMat-Bulk: a relaxed structure of NaHgAsSe3 (PBE-GGA).

Output
Space-group type: P2_1/m, No. 11
Electronic total energy: -0.11631 hartree per atom

a b c (Å): 8.1569 4.0606 9.8985
angles (deg): 90.00 100.24 90.00
Positions (direct):
Na 0.1462 0.2500 0.1813
Na 0.8538 0.7500 0.8187
Hg 0.1870 0.7500 0.5429
Hg 0.8130 0.2500 0.4571
As 0.4201 0.2500 0.8394
As 0.5799 0.7500 0.1606
Se 0.0260 0.2500 0.6871
Se 0.3081 0.7500 0.0115
Se 0.4917 0.7500 0.6817
Se 0.5083 0.2500 0.3183
Se 0.6919 0.2500 0.9885
Se 0.9740 0.7500 0.3129

Record 19
Entry from Alexandria via LeMat-Bulk: a relaxed structure of NaSnHgAs (PBE-GGA).

Output
Space-group type: F-43m, No. 216
Electronic total energy: -0.09887 hartree per atom
Fermi-level density of states: 0.219 states/eV/f.u.
Energy relative to the elements: -122.2 meV per atom

a b c (Å): 7.3399 7.3399 7.3399
angles (deg): 90.00 90.00 90.00
Positions (direct):
Na 0.0000 0.0000 0.0000
Na 0.0000 0.5000 0.5000
Na 0.5000 0.0000 0.5000
Na 0.5000 0.5000 0.0000
Sn 0.0000 0.0000 0.5000
Sn 0.0000 0.5000 0.0000
Sn 0.5000 0.0000 0.0000
Sn 0.5000 0.5000 0.5000
Hg 0.2500 0.2500 0.7500
Hg 0.2500 0.7500 0.2500
Hg 0.7500 0.2500 0.2500
Hg 0.7500 0.7500 0.7500
As 0.2500 0.2500 0.2500
As 0.2500 0.7500 0.7500
As 0.7500 0.2500 0.7500
As 0.7500 0.7500 0.2500

Record 20
Entry from Alexandria via LeMat-Bulk: a relaxed structure of NaSnHgAs (PBE-GGA).

Output
Space-group type: Cm, No. 8
Electronic total energy: -0.10162 hartree per atom
Fermi-level density of states: 0.918 states/eV/f.u.
Energy relative to the elements: -196.8 meV per atom

a b c (Å): 6.9945 4.0311 9.2211
angles (deg): 90.00 104.48 90.00
Positions (direct):
Na 0.0000 0.0000 0.0000
Na 0.5000 0.5000 0.0000
Sn 0.4570 0.0000 0.3726
Sn 0.9570 0.5000 0.3726
Hg 0.0753 0.5000 0.7215
Hg 0.5753 0.0000 0.7215
As 0.2387 0.5000 0.2161
As 0.7387 0.0000 0.2161

Record 21
Entry from Alexandria via LeMat-Bulk: a relaxed structure of NaSr2HgAs (PBE-GGA).

Output
Space-group type: P4/mmm, No. 123
Electronic total energy: -0.08889 hartree per atom
Fermi-level density of states: 3.725 states/eV/f.u.
Energy relative to the elements: -492.0 meV per atom

a b c (Å): 6.0056 6.0056 5.4855
angles (deg): 90.00 90.00 90.00
Positions (direct):
Na 0.0000 0.0000 0.0000
Sr 0.0000 0.5000 0.5000
Sr 0.5000 0.0000 0.5000
Hg 0.5000 0.5000 0.0000
As 0.0000 0.0000 0.5000

Record 22
Entry from Alexandria via LeMat-Bulk: a relaxed structure of Na2HgTe4As (PBE-GGA).

Output
Space-group type: C2/c, No. 15
Electronic total energy: -0.10265 hartree per atom
Fermi-level density of states: 4.634 states/eV/f.u.

a b c (Å): 8.6744 8.6744 8.4850
angles (deg): 117.29 117.29 90.84
Positions (direct):
Na 0.0000 0.0000 0.0000
Na 0.0000 0.0000 0.5000
Na 0.0000 0.5000 0.0000
Na 0.5000 0.0000 0.5000
Hg 0.0000 0.5000 0.5000
Hg 0.5000 0.0000 0.0000
Te 0.2362 0.7104 0.4777
Te 0.2766 0.2826 0.5424
Te 0.2826 0.2766 0.0424
Te 0.2896 0.7638 0.0223
Te 0.7104 0.2362 0.9777
Te 0.7174 0.7234 0.9576
Te 0.7234 0.7174 0.4576
Te 0.7638 0.2896 0.5223
As 0.5000 0.5000 0.0000
As 0.5000 0.5000 0.5000

Record 23
Entry from Alexandria via LeMat-Bulk: a relaxed structure of NaHgTe3As (PBE-GGA).

Output
Space-group type: P2_1/m, No. 11
Electronic total energy: -0.10516 hartree per atom

a b c (Å): 8.4371 4.3395 10.4030
angles (deg): 90.00 102.68 90.00
Positions (direct):
Na 0.2180 0.2500 0.2783
Na 0.7820 0.7500 0.7217
Hg 0.0909 0.2500 0.6132
Hg 0.9091 0.7500 0.3868
Te 0.0980 0.2500 0.8864
Te 0.2726 0.7500 0.5315
Te 0.4327 0.7500 0.1414
Te 0.5673 0.2500 0.8586
Te 0.7274 0.2500 0.4685
Te 0.9020 0.7500 0.1136
As 0.3278 0.7500 0.8803
As 0.6722 0.2500 0.1197

Record 24
Entry from Alexandria via LeMat-Bulk: a relaxed structure of Na2TlHgAs (PBE-GGA).

Output
Space-group type: P4/mmm, No. 123
Electronic total energy: -0.07780 hartree per atom
Fermi-level density of states: 2.283 states/eV/f.u.
Energy relative to the elements: -125.9 meV per atom

a b c (Å): 5.5521 5.5521 5.7005
angles (deg): 90.00 90.00 90.00
Positions (direct):
Na 0.0000 0.5000 0.0000
Na 0.5000 0.0000 0.0000
Tl 0.0000 0.0000 0.5000
Hg 0.5000 0.5000 0.5000
As 0.0000 0.0000 0.0000

Record 25
Entry from Alexandria via LeMat-Bulk: a relaxed structure of Na2VHgAs (PBE-GGA).

Output
Space-group type: P4/mmm, No. 123
Electronic total energy: -0.09018 hartree per atom
Fermi-level density of states: 5.016 states/eV/f.u.
Energy relative to the elements: 887.8 meV per atom

a b c (Å): 5.1805 5.1805 5.2374
angles (deg): 90.00 90.00 90.00
Positions (direct):
Na 0.0000 0.5000 0.0000
Na 0.5000 0.0000 0.0000
V 0.0000 0.0000 0.5000
Hg 0.0000 0.0000 0.0000
As 0.5000 0.5000 0.5000

Record 26
Entry from Alexandria via LeMat-Bulk: a relaxed structure of Na2ZnHgAs (PBE-GGA).

Output
Space-group type: P4/mmm, No. 123
Electronic total energy: -0.07065 hartree per atom
Fermi-level density of states: 2.083 states/eV/f.u.
Energy relative to the elements: -149.9 meV per atom

a b c (Å): 5.6398 5.6398 4.8983
angles (deg): 90.00 90.00 90.00
Positions (direct):
Na 0.0000 0.5000 0.0000
Na 0.5000 0.0000 0.0000
Zn 0.0000 0.0000 0.5000
Hg 0.5000 0.5000 0.5000
As 0.0000 0.0000 0.0000

Record 27
Entry from Alexandria via LeMat-Bulk: a relaxed structure of NbHgAs2 (PBE-GGA).

Output
Space-group type: I-42d, No. 122
Electronic total energy: -0.17470 hartree per atom
Fermi-level density of states: 3.810 states/eV/f.u.
Energy relative to the elements: 163.7 meV per atom

a b c (Å): 6.1828 6.1828 11.5519
angles (deg): 90.00 90.00 90.00
Positions (direct):
Nb 0.0000 0.0000 0.0000
Nb 0.0000 0.5000 0.2500
Nb 0.5000 0.0000 0.7500
Nb 0.5000 0.5000 0.5000
Hg 0.0000 0.0000 0.5000
Hg 0.0000 0.5000 0.7500
Hg 0.5000 0.0000 0.2500
Hg 0.5000 0.5000 0.0000
As 0.2179 0.2500 0.1250
As 0.2500 0.7179 0.3750
As 0.2500 0.7821 0.8750
As 0.2821 0.2500 0.6250
As 0.7179 0.7500 0.6250
As 0.7500 0.2179 0.8750
As 0.7500 0.2821 0.3750
As 0.7821 0.7500 0.1250